P:
This record from Alexandria via LeMat-Bulk describes an optimized crystal structure of SrSiBr2. The functional is PBE.

Properties
- Size of the total moment: 0.000 μB/atom

abc: 4.231 5.050 12.855
angles: 90.00 90.00 90.00
Space group Immm (No. 71)
One atom of each set of equivalent atoms:
Sr 0.000 0.000 0.000
Si 0.000 0.000 0.500
Br 0.000 0.500 0.149

Q:
This record from Alexandria via LeMat-Bulk describes an optimized crystal structure of SrSiBr2. The functional is PBE.

Properties
- Size of the total moment: 0.503 μB/atom

abc: 7.773 7.773 7.773
angles: 90.00 90.00 90.00
Space group F-43m (No. 216)
One atom of each set of equivalent atoms:
Sr 0.000 0.000 0.000
Si 0.250 0.250 0.250
Br 0.000 0.000 0.500
Br 0.250 0.250 0.750

R:
This record from Alexandria via LeMat-Bulk describes an optimized crystal structure of SrSiBr2. The functional is PBE.

Properties
- Size of the total moment: 0.000 μB/atom

abc: 10.044 4.073 5.866
angles: 90.00 96.16 90.00
Space group C2/m (No. 12)
One atom of each set of equivalent atoms:
Sr 0.000 0.000 0.000
Si 0.000 0.500 0.500
Br 0.204 0.500 0.239

Relative stability in meV per atom, measured from the most stable structure: P 0; Q 475; R 68